# NiRh3 | the Alexandria database | SCAN | PBEsol geometry
# DOS at the Fermi energy in states/eV per atom: 1.03
# ΔE_f in eV/f.u.: 0.14
# M_tot in μB/atom: 0.59
# Theoretical density in g cm⁻³: 11.841
data_NiRh3
_chemical_formula_sum 'Ni2 Rh6'
_cell_length_a 5.2606
_cell_length_b 7.4087
_cell_length_c 2.6440
_cell_angle_alpha 90.00
_cell_angle_beta 90.00
_cell_angle_gamma 90.00
_space_group_name_H-M_alt 'C m m m'
_space_group_IT_number 65
_space_group_name_Hall '-C 2 2'
loop_
_atom_site_label
_atom_site_fract_x
_atom_site_fract_y
_atom_site_fract_z
_atom_site_occupancy
Ni1 0.0000 0.0000 0.0000 1
Rh1 0.0000 0.5000 0.0000 1
Rh2 0.2500 0.2500 0.5000 1

# Fe5CuP6O24 | the Alexandria database | SCAN | PBEsol geometry
# M_tot in μB/atom: 0.64
# ΔE_f (raw) in eV/atom: -2.032
# Theoretical density in g cm⁻³: 3.578
data_Fe5CuP6O24
_chemical_formula_sum 'Fe15 Cu3 P18 O72'
_cell_length_a 8.5778
_cell_length_b 8.5778
_cell_length_c 19.9416
_cell_angle_alpha 90.00
_cell_angle_beta 90.00
_cell_angle_gamma 120.00
_space_group_name_H-M_alt 'R 3'
_space_group_IT_number 146
_space_group_name_Hall 'R 3'
loop_
_atom_site_label
_atom_site_fract_x
_atom_site_fract_y
_atom_site_fract_z
_atom_site_occupancy
Fe1 0.0000 0.0000 0.0000 1
Fe2 0.0000 0.0000 0.1454 1
Fe3 0.0000 0.0000 0.2925 1
Fe4 0.0000 0.0000 0.6454 1
Fe5 0.0000 0.0000 0.7913 1
Cu1 0.0000 0.0000 0.5012 1
P1 0.9999 0.7022 0.8955 1
P2 0.0371 0.3698 0.0640 1
O1 0.0042 0.2057 0.4617 1
O2 0.0050 0.1739 0.0736 1
O3 0.0136 0.8336 0.5759 1
O4 0.0153 0.8127 0.9579 1
O5 0.1434 0.6805 0.4995 1
O6 0.1471 0.4643 0.0016 1
O7 0.1661 0.6775 0.8835 1
O8 0.1678 0.4861 0.3835 1

# ScMoPb | the Alexandria database | SCAN | PBEsol geometry
# DOS at the Fermi energy in states/eV per atom: 0.86
# ΔE_f in eV/f.u.: 0.68
# ΔE to the lowest computed polymorph in kJ/mol of formula units: 64
# M_tot in μB/atom: 0.00
# Theoretical density in g cm⁻³: 9.617
data_ScMoPb
_chemical_formula_sum 'Sc1 Mo1 Pb1'
_cell_length_a 4.8508
_cell_length_b 4.8508
_cell_length_c 2.9495
_cell_angle_alpha 90.00
_cell_angle_beta 90.00
_cell_angle_gamma 120.00
_space_group_name_H-M_alt 'P 3 m 1'
_space_group_IT_number 156
loop_
_space_group_symop_operation_xyz
'x,y,z'
'-y,x-y,z'
'-x+y,-x,z'
'-y,-x,z'
'-x+y,y,z'
'x,x-y,z'
loop_
_atom_site_label
_atom_site_fract_x
_atom_site_fract_y
_atom_site_fract_z
_atom_site_occupancy
Sc1 0.0000 0.0000 0.0000 1
Mo1 0.3333 0.6667 0.5051 1
Pb1 0.6667 0.3333 0.4947 1

# LaPbN2O | the Alexandria database | SCAN | PBEsol geometry
# DOS at the Fermi energy in states/eV per atom: 0.54
# M_tot in μB/atom: 0.27
# ΔE_f (raw) in eV/atom: 0.135
# Theoretical density in g cm⁻³: 7.484
data_LaPbN2O
_chemical_formula_sum 'La1 Pb1 N2 O1'
_cell_length_a 4.3904
_cell_length_b 4.3904
_cell_length_c 4.4907
_cell_angle_alpha 90.00
_cell_angle_beta 90.00
_cell_angle_gamma 90.00
_space_group_name_H-M_alt 'P 4/m m m'
_space_group_IT_number 123
_space_group_name_Hall '-P 4 2'
loop_
_atom_site_label
_atom_site_fract_x
_atom_site_fract_y
_atom_site_fract_z
_atom_site_occupancy
La1 0.0000 0.0000 0.0000 1
Pb1 0.5000 0.5000 0.5000 1
N1 0.0000 0.5000 0.0000 1
O1 0.0000 0.0000 0.5000 1

# ScAlSe2 | the Alexandria database | SCAN | PBEsol geometry
# DOS at the Fermi energy in states/eV per atom: 0.67
# M_tot in μB/atom: 0.00
# ΔE_f (raw) in eV/atom: -0.771
# Theoretical density in g cm⁻³: 4.728
data_ScAlSe2
_chemical_formula_sum 'Sc2 Al2 Se4'
_cell_length_a 3.7212
_cell_length_b 3.7212
_cell_length_c 11.6588
_cell_angle_alpha 90.00
_cell_angle_beta 90.00
_cell_angle_gamma 90.00
_space_group_name_H-M_alt 'I -4 m 2'
_space_group_IT_number 119
_space_group_name_Hall 'I -4 -2'
loop_
_atom_site_label
_atom_site_fract_x
_atom_site_fract_y
_atom_site_fract_z
_atom_site_occupancy
Sc1 0.0000 0.0000 0.0000 1
Al1 0.0000 0.5000 0.7500 1
Se1 0.0000 0.0000 0.5000 1
Se2 0.0000 0.5000 0.2500 1

# Y2ScRu | the Alexandria database | SCAN | PBEsol geometry
# DOS at the Fermi energy in states/eV per atom: 0.81
# ΔE_f in eV/f.u.: -1.23
# ΔE to the lowest computed polymorph in kJ/mol of formula units: 0
# M_tot in μB/atom: 0.00
# Theoretical density in g cm⁻³: 5.843
data_Y2ScRu
_chemical_formula_sum 'Y4 Sc2 Ru2'
_cell_length_a 3.4289
_cell_length_b 5.0932
_cell_length_c 10.5394
_cell_angle_alpha 90.00
_cell_angle_beta 90.00
_cell_angle_gamma 90.00
_space_group_name_H-M_alt 'I m m 2'
_space_group_IT_number 44
loop_
_space_group_symop_operation_xyz
'x,y,z'
'-x,-y,z'
'-x,y,z'
'x,-y,z'
'x+1/2,y+1/2,z+1/2'
'-x+1/2,-y+1/2,z+1/2'
'-x+1/2,y+1/2,z+1/2'
'x+1/2,-y+1/2,z+1/2'
loop_
_atom_site_label
_atom_site_fract_x
_atom_site_fract_y
_atom_site_fract_z
_atom_site_occupancy
Y1 0.0000 0.0000 0.0000 1
Y2 0.0000 0.5000 0.2028 1
Sc1 0.0000 0.0000 0.3982 1
Ru1 0.0000 0.5000 0.7118 1

# La2InSi | the Alexandria database | SCAN | PBEsol geometry
# DOS at the Fermi energy in states/eV per atom: 0.76
# M_tot in μB/atom: 0.00
# ΔE_f (raw) in eV/atom: -0.153
# Theoretical density in g cm⁻³: 6.422
data_La2InSi
_chemical_formula_sum 'La2 In1 Si1'
_cell_length_a 3.5001
_cell_length_b 3.5001
_cell_length_c 8.8803
_cell_angle_alpha 90.00
_cell_angle_beta 90.00
_cell_angle_gamma 90.00
_space_group_name_H-M_alt 'P 4 m m'
_space_group_IT_number 99
loop_
_space_group_symop_operation_xyz
'x,y,z'
'-y,x,z'
'-x,-y,z'
'y,-x,z'
'-x,y,z'
'y,x,z'
'x,-y,z'
'-y,-x,z'
loop_
_atom_site_label
_atom_site_fract_x
_atom_site_fract_y
_atom_site_fract_z
_atom_site_occupancy
La1 0.0000 0.0000 0.0000 1
La2 0.5000 0.5000 0.3613 1
In1 0.0000 0.0000 0.6163 1
Si1 0.5000 0.5000 0.7765 1

# SrRe2OsRh | the Alexandria database | SCAN | PBEsol geometry
# DOS at the Fermi energy in states/eV per atom: 0.99
# ΔE_f in eV/f.u.: 6.56
# M_tot in μB/atom: 0.09
# Theoretical density in g cm⁻³: 11.555
data_SrRe2OsRh
_chemical_formula_sum 'Sr1 Re2 Os1 Rh1'
_cell_length_a 4.7253
_cell_length_b 4.7253
_cell_length_c 4.8475
_cell_angle_alpha 90.00
_cell_angle_beta 90.00
_cell_angle_gamma 90.00
_space_group_name_H-M_alt 'P 4/m m m'
_space_group_IT_number 123
_space_group_name_Hall '-P 4 2'
loop_
_atom_site_label
_atom_site_fract_x
_atom_site_fract_y
_atom_site_fract_z
_atom_site_occupancy
Sr1 0.0000 0.0000 0.0000 1
Re1 0.0000 0.5000 0.5000 1
Os1 0.5000 0.5000 0.5000 1
Rh1 0.5000 0.5000 0.0000 1

# PtCl3 | the Alexandria database | SCAN | PBEsol geometry
# DOS at the Fermi energy in states/eV per atom: 0.97
# M_tot in μB/atom: 0.19
# ΔE_f (raw) in eV/atom: 0.433
# Theoretical density in g cm⁻³: 6.432
data_PtCl3
_chemical_formula_sum 'Pt1 Cl3'
_cell_length_a 3.4309
_cell_length_b 3.4309
_cell_length_c 7.6345
_cell_angle_alpha 90.00
_cell_angle_beta 90.00
_cell_angle_gamma 120.00
_space_group_name_H-M_alt 'P -6 m 2'
_space_group_IT_number 187
_space_group_name_Hall 'P -6 2'
loop_
_atom_site_label
_atom_site_fract_x
_atom_site_fract_y
_atom_site_fract_z
_atom_site_occupancy
Pt1 0.0000 0.0000 0.0000 1
Cl1 0.0000 0.0000 0.5000 1
Cl2 0.6667 0.3333 0.2026 1

# KInNi3 | the Alexandria database | SCAN | PBEsol geometry
# DOS at the Fermi energy in states/eV per atom: 0.73
# ΔE_f in eV/f.u.: 4.88
# M_tot in μB/atom: 0.52
# Theoretical density in g cm⁻³: 5.046
data_KInNi3
_chemical_formula_sum 'K1 In1 Ni3'
_cell_length_a 4.7709
_cell_length_b 4.7709
_cell_length_c 4.7709
_cell_angle_alpha 90.00
_cell_angle_beta 90.00
_cell_angle_gamma 90.00
_space_group_name_H-M_alt 'P m -3 m'
_space_group_IT_number 221
_space_group_name_Hall '-P 4 2 3'
loop_
_atom_site_label
_atom_site_fract_x
_atom_site_fract_y
_atom_site_fract_z
_atom_site_occupancy
K1 0.0000 0.0000 0.0000 1
In1 0.5000 0.5000 0.5000 1
Ni1 0.0000 0.5000 0.5000 1

# YZnSeBr2 | the Alexandria database | SCAN | PBEsol geometry
# DOS at the Fermi energy in states/eV per atom: 0.49
# M_tot in μB/atom: 0.12
# ΔE_f (raw) in eV/atom: -0.708
# Theoretical density in g cm⁻³: 5.371
data_YZnSeBr2
_chemical_formula_sum 'Y1 Zn1 Se1 Br2'
_cell_length_a 4.9091
_cell_length_b 4.9091
_cell_length_c 5.0430
_cell_angle_alpha 90.00
_cell_angle_beta 90.00
_cell_angle_gamma 90.00
_space_group_name_H-M_alt 'P 4/m m m'
_space_group_IT_number 123
_space_group_name_Hall '-P 4 2'
loop_
_atom_site_label
_atom_site_fract_x
_atom_site_fract_y
_atom_site_fract_z
_atom_site_occupancy
Y1 0.0000 0.0000 0.0000 1
Zn1 0.5000 0.5000 0.5000 1
Se1 0.5000 0.5000 0.0000 1
Br1 0.0000 0.5000 0.5000 1

# LaRh2Au | the Alexandria database | SCAN | PBEsol geometry
# DOS at the Fermi energy in states/eV per atom: 0.45
# ΔE_f in eV/f.u.: -1.18
# M_tot in μB/atom: 0.00
# Theoretical density in g cm⁻³: 12.045
data_LaRh2Au
_chemical_formula_sum 'La1 Rh2 Au1'
_cell_length_a 3.5572
_cell_length_b 3.5572
_cell_length_c 5.9018
_cell_angle_alpha 90.00
_cell_angle_beta 90.00
_cell_angle_gamma 90.00
_space_group_name_H-M_alt 'P 4 m m'
_space_group_IT_number 99
loop_
_space_group_symop_operation_xyz
'x,y,z'
'-y,x,z'
'-x,-y,z'
'y,-x,z'
'-x,y,z'
'y,x,z'
'x,-y,z'
'-y,-x,z'
loop_
_atom_site_label
_atom_site_fract_x
_atom_site_fract_y
_atom_site_fract_z
_atom_site_occupancy
La1 0.0000 0.0000 0.0000 1
Rh1 0.0000 0.0000 0.4475 1
Rh2 0.5000 0.5000 0.2630 1
Au1 0.5000 0.5000 0.7056 1